Entry 1:
Entry from Alexandria: a relaxed structure of HoErZnGe (PBE).

Cell: 4.0839 4.1678 10.7826 Å, 90.00 90.00 90.00°
Space group Amm2 (No. 38)
Inequivalent atoms, fractional coordinates:
Ho 0.0000 0.0000 0.0000
Er 0.5000 0.0000 0.2822
Zn 0.5000 0.0000 0.5659
Ge 0.0000 0.0000 0.7193

=====

Entry 2:
Entry from Alexandria: a relaxed structure of Gd2MgNi2 (PBE).

Cell: 7.3830 7.3830 3.7971 Å, 90.00 90.00 90.00°
Space group P4/mbm (No. 127)
Inequivalent atoms, fractional coordinates:
Gd 0.1734 0.3266 0.0000
Mg 0.0000 0.0000 0.5000
Ni 0.1207 0.6207 0.5000

=====

Entry 3:
Entry from Alexandria: a relaxed structure of Y4Tm4Th (PBE).

Cell: 15.7663 5.6053 6.9217 Å, 90.00 102.63 90.00°
Space group C2/m (No. 12)
Inequivalent atoms, fractional coordinates:
Y 0.0927 0.0000 0.1978
Y 0.2020 0.5000 0.4873
Tm 0.1181 0.0000 0.6891
Tm 0.1779 0.5000 0.9633
Th 0.0000 0.5000 0.5000

=====

Entry 4:
Entry from Alexandria: a relaxed structure of NdSm2Sc (PBE).

Cell: 11.9915 6.1708 3.6237 Å, 90.00 107.58 90.00°
Space group C2 (No. 5)
Inequivalent atoms, fractional coordinates:
Nd 0.0000 0.0000 0.0000
Sm 0.2420 0.3474 0.2432
Sc 0.0000 0.5068 0.5000

=====

Entry 5:
Entry from Alexandria: a relaxed structure of NdPuBiAu (PBE).

Cell: 7.6356 7.6356 7.6356 Å, 90.00 90.00 90.00°
Space group F-43m (No. 216)
Inequivalent atoms, fractional coordinates:
Nd 0.0000 0.0000 0.0000
Pu 0.0000 0.0000 0.5000
Bi 0.2500 0.2500 0.7500
Au 0.2500 0.2500 0.2500

=====

Entry 6:
Entry from Alexandria: a relaxed structure of Ce3ThRu3 (PBE).

Cell: 8.8744 8.8744 15.2784 Å, 90.00 90.00 120.00°
Space group R-3 (No. 148, hexagonal axes)
Inequivalent atoms, fractional coordinates:
Ce 0.0226 0.7504 0.1032
Th 0.0000 0.0000 0.3293
Ru 0.0193 0.6308 0.9311

=====

Number 1: final energy -4.379 eV/atom, energy of formation from the pure elements -621.1 meV per atom. Number 2: final energy -8.621 eV/atom, energy of formation from the pure elements -357.4 meV per atom. Number 3: final energy -5.475 eV/atom, energy of formation from the pure elements 209.5 meV per atom. Number 4: final energy -5.088 eV/atom, energy of formation from the pure elements 46.0 meV per atom. Number 5: final energy -7.101 eV/atom, energy of formation from the pure elements -536.1 meV per atom. Number 6: final energy -7.911 eV/atom, energy of formation from the pure elements -332.2 meV per atom.